Record 1
A relaxed Ca3ZnSb2Pd9 crystal. Source: Alexandria, functional GGA-PBE.

Crystal system: trigonal
Formation energy (no corrections) in eV/atom: -0.393
Theoretical density in g cm⁻³: 6.4
Fermi-level density of states in states/eV per atom: 0.5685

a b c (Å): 6.7859 6.7859 8.9779
angles (deg): 90.00 90.00 120.00
Last column: nearest neighbours and their distance in Å.
Element x y z (fractional)
Ca: 0.0000 0.0000 0.0000  6 Pd 2.91
Ca: 0.3333 0.6667 0.7280  9 Pd 3.13-3.42
Ca: 0.6667 0.3333 0.2720  9 Pd 3.13-3.42
Zn: 0.0000 0.0000 0.5000  6 Pd 2.54
Sb: 0.3333 0.6667 0.1941  6 Pd 2.48-2.62
Sb: 0.6667 0.3333 0.8059  6 Pd 2.48-2.62
Pd: 0.0000 0.5000 0.0000  2 Sb 2.62
Pd: 0.1314 0.2629 0.2748  1 Sb 2.48, 1 Zn 2.54, 2 Pd 2.68
Pd: 0.1314 0.8686 0.2748  1 Sb 2.48, 1 Zn 2.54, 2 Pd 2.68
Pd: 0.2629 0.1314 0.7252  1 Sb 2.48, 1 Zn 2.54, 2 Pd 2.68
Pd: 0.5000 0.0000 0.0000  2 Sb 2.62
Pd: 0.5000 0.5000 0.0000  2 Sb 2.62
Pd: 0.7371 0.8686 0.2748  1 Sb 2.48, 1 Zn 2.54, 2 Pd 2.68
Pd: 0.8686 0.1314 0.7252  1 Sb 2.48, 1 Zn 2.54, 2 Pd 2.68
Pd: 0.8686 0.7371 0.7252  1 Sb 2.48, 1 Zn 2.54, 2 Pd 2.68

=====

Record 2
A relaxed BaGa9Rh2 crystal. Source: Alexandria, functional GGA-PBE.

E_form in eV/atom: -0.3960
Crystal system: tetragonal
Theoretical density in g cm⁻³: 7.3
Fermi-level density of states in states/eV per atom: 0.3190

a b c (Å): 8.4898 8.4898 8.4898
angles (deg): 101.86 101.86 126.09
Last column: nearest neighbours and their distance in Å.
Element x y z (fractional)
Ba: 0.3750 0.6250 0.7500  18 Ga 3.47-3.85
Ba: 0.6250 0.3750 0.2500  18 Ga 3.47-3.85
Ga: 0.1250 0.8750 0.2500  4 Rh 2.84, 8 Ga 2.90
Ga: 0.1472 0.5715 0.3317  2 Rh 2.61-2.74, 6 Ga 2.61-2.90
Ga: 0.1472 0.8155 0.5756  2 Rh 2.61-2.74, 6 Ga 2.61-2.90
Ga: 0.1845 0.2601 0.3317  2 Rh 2.61-2.74, 6 Ga 2.61-2.90
Ga: 0.1845 0.8528 0.9244  2 Rh 2.61-2.74, 6 Ga 2.61-2.90
Ga: 0.2601 0.1845 0.8317  2 Rh 2.61-2.74, 6 Ga 2.61-2.90
Ga: 0.2601 0.4285 0.0756  2 Rh 2.61-2.74, 6 Ga 2.61-2.90
Ga: 0.4285 0.2601 0.5756  2 Rh 2.61-2.74, 6 Ga 2.61-2.90
Ga: 0.4285 0.8528 0.1683  2 Rh 2.61-2.74, 6 Ga 2.61-2.90
Ga: 0.5715 0.1472 0.8317  2 Rh 2.61-2.74, 6 Ga 2.61-2.90
Ga: 0.5715 0.7399 0.4244  2 Rh 2.61-2.74, 6 Ga 2.61-2.90
Ga: 0.7399 0.5715 0.9244  2 Rh 2.61-2.74, 6 Ga 2.61-2.90
Ga: 0.7399 0.8155 0.1683  2 Rh 2.61-2.74, 6 Ga 2.61-2.90
Ga: 0.8155 0.1472 0.0756  2 Rh 2.61-2.74, 6 Ga 2.61-2.90
Ga: 0.8155 0.7399 0.6683  2 Rh 2.61-2.74, 6 Ga 2.61-2.90
Ga: 0.8528 0.1845 0.4244  2 Rh 2.61-2.74, 6 Ga 2.61-2.90
Ga: 0.8528 0.4285 0.6683  2 Rh 2.61-2.74, 6 Ga 2.61-2.90
Ga: 0.8750 0.1250 0.7500  4 Rh 2.84, 8 Ga 2.90
Rh: 0.0000 0.0000 0.0000  10 Ga 2.61-2.84
Rh: 0.0000 0.0000 0.5000  10 Ga 2.61-2.84
Rh: 0.0000 0.5000 0.0000  10 Ga 2.61-2.84
Rh: 0.5000 0.0000 0.5000  10 Ga 2.61-2.84

=====

Record 3
A relaxed TbAl2Pt3 crystal. Source: Alexandria, functional GGA-PBE.

E_form in eV/atom: -1.0522
Crystal system: orthorhombic
Theoretical density in g cm⁻³: 12.2
Fermi-level density of states in states/eV per atom: 0.4353

a b c (Å): 6.3812 6.3812 5.4696
angles (deg): 90.00 90.00 77.83
Last column: nearest neighbours and their distance in Å.
Element x y z (fractional)
Tb: 0.1656 0.8344 0.7500  5 Pt 2.85-3.15
Tb: 0.8344 0.1656 0.2500  5 Pt 2.85-3.15
Al: 0.2834 0.2834 0.0000  4 Pt 2.45-2.55, 2 Al 2.73
Al: 0.2834 0.2834 0.5000  4 Pt 2.45-2.55, 2 Al 2.73
Al: 0.7166 0.7166 0.0000  4 Pt 2.45-2.55, 2 Al 2.73
Al: 0.7166 0.7166 0.5000  4 Pt 2.45-2.55, 2 Al 2.73
Pt: 0.0433 0.6466 0.2500  2 Al 2.45, 1 Pt 2.73
Pt: 0.3534 0.9567 0.2500  2 Al 2.45, 1 Pt 2.73
Pt: 0.4791 0.5209 0.2500  4 Al 2.55, 4 Pt 2.73-2.76, 1 Tb 2.85
Pt: 0.5209 0.4791 0.7500  4 Al 2.55, 4 Pt 2.73-2.76, 1 Tb 2.85
Pt: 0.6466 0.0433 0.7500  2 Al 2.45, 1 Pt 2.73
Pt: 0.9567 0.3534 0.7500  2 Al 2.45, 1 Pt 2.73

=====

Record 4
A relaxed Pm2Ge3Rh4Au crystal. Source: Alexandria, functional GGA-PBE.

E_form in eV/atom: -0.7587
Crystal system: tetragonal
Theoretical density in g cm⁻³: 9.8
Fermi-level density of states in states/eV per atom: 0.4847

a b c (Å): 4.2134 4.2134 10.6077
angles (deg): 90.00 90.00 90.00
Last column: nearest neighbours and their distance in Å.
Element x y z (fractional)
Pm: 0.0000 0.5000 0.2479  8 Rh 3.15-3.40, 6 Ge 3.28-3.37, 2 Au 3.37
Pm: 0.5000 0.0000 0.7521  8 Rh 3.15-3.40, 6 Ge 3.28-3.37, 2 Au 3.37
Ge: 0.0000 0.0000 0.0000  4 Rh 2.65
Ge: 0.0000 0.5000 0.6230  5 Rh 2.40-2.48
Ge: 0.5000 0.0000 0.3770  5 Rh 2.40-2.48
Rh: 0.0000 0.0000 0.5000  4 Ge 2.48
Rh: 0.0000 0.5000 0.8492  3 Ge 2.40-2.65, 2 Au 2.65
Rh: 0.5000 0.0000 0.1508  3 Ge 2.40-2.65, 2 Au 2.65
Rh: 0.5000 0.5000 0.5000  4 Ge 2.48
Au: 0.5000 0.5000 0.0000  4 Rh 2.65